Record 1
A relaxed Pu3BiH4 crystal, computed with GGA-PBE.

abc: 15.4586 3.3082 5.6333
angles: 90.00 109.72 90.00
Space group C2/m (No. 12)
One atom of each set of equivalent atoms:
Pu 0.0000 0.0000 0.0000
Pu 0.1968 0.0000 0.4059
Bi 0.0000 0.5000 0.5000
H 0.1160 0.5000 0.1455
H 0.1782 0.5000 0.6633

Computed properties:
Total DFT energy (no corrections)   -118.56 eV per cell
V   16.95 A^3/atom

=====

Record 2
A relaxed Fe3CoIr12 crystal, computed with GGA-PBE.

abc: 3.8196 3.8196 15.2820
angles: 90.00 90.00 90.00
Space group P4/mmm (No. 123)
One atom of each set of equivalent atoms:
Fe 0.0000 0.0000 0.0000
Fe 0.0000 0.0000 0.2536
Co 0.0000 0.0000 0.5000
Ir 0.0000 0.5000 0.1253
Ir 0.0000 0.5000 0.3753
Ir 0.5000 0.5000 0.0000
Ir 0.5000 0.5000 0.2505
Ir 0.5000 0.5000 0.5000

Computed properties:
ΔE_f   -22 meV per atom
V   13.93 A^3/atom

=====

Record 3
A relaxed PmNiAg crystal, computed with GGA-PBE.

abc: 9.9544 4.1235 7.1412
angles: 90.00 123.64 90.00
Space group C2/m (No. 12)
One atom of each set of equivalent atoms:
Pm 0.0641 0.0000 0.3132
Ni 0.1347 0.5000 0.6618
Ag 0.1813 0.5000 0.0827

Computed properties:
ΔE_f   -301 meV per atom
V   20.34 A^3/atom

=====

Record 4
A relaxed SrGePS2 crystal, computed with GGA-PBE.

abc: 5.4623 5.4623 5.5569
angles: 90.00 90.00 90.00
Space group P4/mmm (No. 123)
One atom of each set of equivalent atoms:
Sr 0.0000 0.0000 0.0000
Ge 0.5000 0.5000 0.5000
P 0.0000 0.0000 0.5000
S 0.0000 0.5000 0.0000

Computed properties:
ΔE_f (raw)   0.7668 eV per atom
V   33.16 A^3/atom

=====

Record 5
A relaxed AlRuRh2 crystal, computed with GGA-PBE.

abc: 2.8142 4.6801 8.7061
angles: 90.00 90.00 90.00
Space group Cmm2 (No. 35)
One atom of each set of equivalent atoms:
Al 0.0000 0.0000 0.0000
Ru 0.0000 0.5000 0.2403
Rh 0.0000 0.0000 0.4978
Rh 0.0000 0.5000 0.7683

Computed properties:
ΔE_f   -60 meV per atom
V   14.33 A^3/atom

=====

Record 6
A relaxed Tl2SeF crystal, computed with GGA-PBE.

abc: 7.2109 7.2109 7.2109
angles: 90.00 90.00 90.00
Space group Fm-3m (No. 225)
One atom of each set of equivalent atoms:
Tl 0.2500 0.2500 0.2500
Se 0.0000 0.0000 0.0000
F 0.0000 0.0000 0.5000

Computed properties:
ΔE_f (raw)   -0.8297 eV per atom
V   23.43 A^3/atom

=====

Record 7
A relaxed VHgAsCl6 crystal, computed with GGA-PBE.

abc: 6.3379 6.3379 9.2629
angles: 90.00 90.00 120.00
Space group P312 (No. 149)
One atom of each set of equivalent atoms:
V 0.0000 0.0000 0.0000
Hg 0.6667 0.3333 0.5000
As 0.3333 0.6667 0.0000
Cl 0.0230 0.3198 0.1483

Computed properties:
ΔE_f (raw)   -0.8123 eV per atom
V   35.80 A^3/atom

=====

Record 8
A relaxed CuNi2I8 crystal, computed with GGA-PBE.

abc: 11.8754 9.7639 9.9915
angles: 90.00 122.42 90.00
Space group C2/m (No. 12)
One atom of each set of equivalent atoms:
Cu 0.0000 0.0000 0.0000
Ni 0.1872 0.5000 0.5872
I 0.0269 0.5000 0.6807
I 0.1538 0.1845 0.1989
I 0.1883 0.0000 0.5531

Computed properties:
ΔE_f (raw)   -0.0187 eV per atom
V   44.45 A^3/atom

=====

- Which of these has the highest V?
  CuNi2I8

=====

Copy entry 6 word for word.
A relaxed Tl2SeF crystal, computed with GGA-PBE.

abc: 7.2109 7.2109 7.2109
angles: 90.00 90.00 90.00
Space group Fm-3m (No. 225)
One atom of each set of equivalent atoms:
Tl 0.2500 0.2500 0.2500
Se 0.0000 0.0000 0.0000
F 0.0000 0.0000 0.5000

Computed properties:
ΔE_f (raw)   -0.8297 eV per atom
V   23.43 A^3/atom